1.
# TbSmNi2

Crystalline TbSmNi2 at its relaxed geometry (PBE, the Open Quantum Materials Database).

The structure belongs to space group Amm2 (No. 38); the cell edges are 4.283, 3.721 and 10.255 Å and the angles 90.00°, 90.00° and 90.00°. The distinct sites, in fractional coordinates, are Tb at (0.000, 0.000, 0.000), Sm at (0.500, 0.000, 0.276), Ni at (0.000, 0.000, 0.710) and Ni at (0.500, 0.000, 0.562).

The value obtained for the density is 8.7 g/cm³. The value obtained for the magnetization is 0.00 μB per formula unit. The calculation puts the uncorrected energy at -5.53 eV per atom.

=====

2.
# TbSmNi4

Crystalline TbSmNi4 at its relaxed geometry (PBE, the Open Quantum Materials Database).

The structure belongs to space group P6/mmm (No. 191); the cell edges are 5.4062, 5.4062 and 8.0279 Å and the angles 90.00°, 90.00° and 120.00°. The distinct sites, in fractional coordinates, are Tb at (0.3333, 0.6667, 0.0000), Sm at (0.0000, 0.0000, 0.0000), Sm at (0.0000, 0.0000, 0.5000), Ni at (0.0000, 0.5000, 0.2747) and Ni at (0.3333, 0.6667, 0.5000).

The value obtained for the density is 8.9 g/cm³. The value obtained for the magnetization is 0.02 μB per formula unit. The calculation puts the uncorrected energy at -5.28 eV per atom.

=====

3.
# Tb2SmTl3Ni3

Crystalline Tb2SmTl3Ni3 at its relaxed geometry (PBE, the Open Quantum Materials Database).

The structure belongs to space group Amm2 (No. 38); the cell edges are 3.812, 13.153 and 7.595 Å and the angles 90.00°, 90.00° and 90.00°. The distinct sites, in fractional coordinates, are Tb at (0.000, 0.205, 0.000), Sm at (0.000, 0.000, 0.385), Tl at (0.500, 0.000, 0.053), Tl at (0.500, 0.131, 0.666), Ni at (0.000, 0.000, 0.795) and Ni at (0.500, 0.168, 0.295).

The value obtained for the density is 11.0 g/cm³. The value obtained for the magnetization is 0.03 μB per formula unit. The calculation puts the uncorrected energy at -4.54 eV per atom.

=====

4.
# Sm3Y3NiTe2

Crystalline Sm3Y3NiTe2 at its relaxed geometry (PBE, the Open Quantum Materials Database).

The structure belongs to space group P-62m (No. 189); the cell edges are 8.5311, 8.5311 and 3.9113 Å and the angles 90.00°, 90.00° and 120.00°. The distinct sites, in fractional coordinates, are Sm at (0.0000, 0.2408, 0.0000), Y at (0.0000, 0.5924, 0.5000), Ni at (0.0000, 0.0000, 0.5000) and Te at (0.3333, 0.6667, 0.0000).

The value obtained for the density is 6.9 g/cm³. The value obtained for the magnetization is 0.31 μB per formula unit. The calculation puts the uncorrected energy at -5.73 eV per atom.

=====

5.
# Sm3Y3NiTe2

Crystalline Sm3Y3NiTe2 at its relaxed geometry (PBE, the Open Quantum Materials Database).

The structure belongs to space group P-62m (No. 189); the cell edges are 8.4800, 8.4800 and 3.9750 Å and the angles 90.00°, 90.00° and 120.00°. The distinct sites, in fractional coordinates, are Sm at (0.0000, 0.5954, 0.0000), Y at (0.0000, 0.2384, 0.5000), Ni at (0.0000, 0.0000, 0.0000) and Te at (0.3333, 0.6667, 0.5000).

The value obtained for the density is 6.9 g/cm³. The value obtained for the magnetization is 0.08 μB per formula unit. The calculation puts the uncorrected energy at -5.78 eV per atom.

=====

6.
# Sm3Zr3NiTe2

Crystalline Sm3Zr3NiTe2 at its relaxed geometry (PBE, the Open Quantum Materials Database).

The structure belongs to space group P-62m (No. 189); the cell edges are 8.0694, 8.0694 and 3.9819 Å and the angles 90.00°, 90.00° and 120.00°. The distinct sites, in fractional coordinates, are Sm at (0.0000, 0.5993, 0.0000), Zr at (0.0000, 0.2250, 0.5000), Ni at (0.0000, 0.0000, 0.0000) and Te at (0.3333, 0.6667, 0.5000).

The value obtained for the density is 7.7 g/cm³. The value obtained for the magnetization is 0.03 μB per formula unit. The calculation puts the uncorrected energy at -6.39 eV per atom.

=====

Q: The lowest uncorrected energy belongs to which entry?
A: Sm3Zr3NiTe2